1.
The following is a GGA-PBE calculation of PmFeH8Ir2 after structural relaxation, from Alexandria.

Cell lengths 4.6638, 4.6638, 5.8423 Å; angles 66.48, 66.48, 60.00 degrees
Positions (direct):
Pm  0.5000  0.5000  0.5000
Fe  0.0000  0.0000  0.0000
H  0.1832  0.1832  0.4505
H  0.6393  0.0546  0.2519
H  0.8168  0.8168  0.5495
H  0.0542  0.6393  0.2519
H  0.9458  0.3607  0.7481
H  0.0546  0.0542  0.2519
H  0.9454  0.9458  0.7481
H  0.3607  0.9454  0.7481
Ir  0.2881  0.2881  0.1356
Ir  0.7119  0.7119  0.8644

Computed properties:
E_tot	-59.452	eV for the cell shown
DOS(E_F)	4.7	states/eV/f.u.

2.
The following is a GGA-PBE calculation of La5Sm8Dy after structural relaxation, from Alexandria.

Cell lengths 9.1096, 9.7250, 8.7853 Å; angles 111.65, 114.21, 114.76 degrees
Positions (direct):
La  0.0574  0.3996  0.2317
La  0.8089  0.0099  0.2575
La  0.7957  0.7078  0.8374
La  0.5557  0.0367  0.4524
La  0.2998  0.9172  0.9215
Sm  0.0535  0.5335  0.9462
Sm  0.0479  0.1120  0.7984
Sm  0.8038  0.4255  0.4272
Sm  0.5567  0.3141  0.8821
Sm  0.5499  0.6128  0.2929
Sm  0.5538  0.8920  0.7298
Sm  0.3017  0.2142  0.3372
Sm  0.0608  0.8196  0.3815
Dy  0.3046  0.5051  0.7543

Computed properties:
DFT formation energy	49	meV per atom
DOS(E_F)	21.0	states/eV/f.u.

3.
The following is a GGA-PBE calculation of CuNiSe2 after structural relaxation, from Alexandria.

Cell lengths 5.7615, 3.5223, 13.1747 Å; angles 90.00, 90.00, 90.00 degrees
Positions (direct):
Ni  0.0723  0.2500  0.6128
Ni  0.4277  0.7500  0.1128
Ni  0.9277  0.7500  0.3872
Ni  0.5723  0.2500  0.8872
Cu  0.2459  0.2500  0.3335
Cu  0.2541  0.7500  0.8335
Cu  0.7541  0.7500  0.6665
Cu  0.7459  0.2500  0.1665
Se  0.7723  0.2500  0.4878
Se  0.7277  0.7500  0.9878
Se  0.2277  0.7500  0.5122
Se  0.2723  0.2500  0.0122
Se  0.4405  0.2500  0.7083
Se  0.0595  0.7500  0.2083
Se  0.5595  0.7500  0.2917
Se  0.9405  0.2500  0.7917

Computed properties:
E_form (uncorrected)	-0.043	eV/atom
DOS(E_F)	2.5	states/eV/f.u.

4.
The following is a GGA-PBE calculation of Tb3HoTm after structural relaxation, from Alexandria.

Cell lengths 9.5439, 6.6771, 6.2412 Å; angles 62.16, 109.13, 84.15 degrees
Positions (direct):
Tb  0.0499  0.9513  0.4820
Tb  0.7498  0.4503  0.9164
Tb  0.5504  0.4490  0.3172
Tb  0.4496  0.9511  0.6827
Tb  0.2502  0.9497  0.0837
Tb  0.9501  0.4486  0.5180
Ho  0.6511  0.9498  0.2846
Ho  0.3490  0.4502  0.7155
Tm  0.1492  0.4518  0.1143
Tm  0.8508  0.9483  0.8856

Computed properties:
relative energy among the computed polymorphs	0	meV/atom
DFT formation energy	8	meV per atom
DOS(E_F)	8.9	states/eV/f.u.

5.
The following is a GGA-PBE calculation of In2Ga2Ge after structural relaxation, from Alexandria.

Cell lengths 8.1869, 8.1869, 3.4871 Å; angles 90.00, 90.00, 90.00 degrees
Positions (direct):
Ge  0.0000  0.0000  0.0000
Ge  0.5000  0.5000  0.0000
Ga  0.1223  0.6223  0.5000
Ga  0.6223  0.8777  0.5000
Ga  0.8777  0.3777  0.5000
Ga  0.3777  0.1223  0.5000
In  0.3216  0.8216  0.0000
In  0.8216  0.6784  0.0000
In  0.6784  0.1784  0.0000
In  0.1784  0.3216  0.0000

Computed properties:
relative energy among the computed polymorphs	102	meV/atom
DFT formation energy	203	meV per atom
DOS(E_F)	2.2	states/eV/f.u.

6.
The following is a GGA-PBE calculation of SrBr3F12 after structural relaxation, from Alexandria.

Cell lengths 8.3253, 8.3253, 12.4803 Å; angles 70.52, 70.52, 60.00 degrees
Positions (direct):
Sr  0.0707  0.0707  0.7878
Sr  0.5707  0.5707  0.2878
Br  0.6392  0.3755  0.0016
Br  0.1392  0.4837  0.5016
Br  0.8755  0.1392  0.5016
Br  0.3755  0.9837  0.0016
Br  0.9837  0.6392  0.0016
Br  0.4837  0.8755  0.5016
F  0.9136  0.2791  0.9299
F  0.1885  0.2945  0.6475
F  0.9671  0.8847  0.5662
F  0.6009  0.3804  0.8631
F  0.1009  0.6556  0.3631
F  0.4671  0.0820  0.0662
F  0.6885  0.3695  0.1475
F  0.8847  0.5820  0.5662
F  0.4136  0.3774  0.4299
F  0.8695  0.1885  0.6475
F  0.8804  0.1009  0.3631
F  0.3774  0.7791  0.4299
F  0.0820  0.3847  0.0662
F  0.8774  0.9136  0.9299
F  0.3804  0.1556  0.8631
F  0.3695  0.7945  0.1475
F  0.7945  0.6885  0.1475
F  0.3847  0.4671  0.0662
F  0.7791  0.4136  0.4299
F  0.1556  0.6009  0.8631
F  0.6556  0.8804  0.3631
F  0.2791  0.8774  0.9299
F  0.2945  0.8695  0.6475
F  0.5820  0.9671  0.5662

Computed properties:
E_form (uncorrected)	-1.473	eV/atom
DOS(E_F)	10.5	states/eV/f.u.

7.
The following is a GGA-PBE calculation of La3PmPr2Te6 after structural relaxation, from Alexandria.

Cell lengths 4.5403, 9.1110, 10.1418 Å; angles 102.56, 102.93, 90.00 degrees
Positions (direct):
La  0.5000  0.5000  0.0000
La  0.8320  0.1670  0.6640
La  0.1680  0.8330  0.3360
Pm  0.5000  0.0000  0.0000
Pr  0.8331  0.6670  0.6662
Pr  0.1669  0.3330  0.3338
Te  0.3356  0.9171  0.6713
Te  0.6670  0.5815  0.3340
Te  0.6644  0.0829  0.3287
Te  0.9999  0.2450  0.9998
Te  0.0001  0.7550  0.0002
Te  0.3330  0.4185  0.6660

Computed properties:
E_form (uncorrected)	-1.517	eV/atom
DOS(E_F)	7.4	states/eV/f.u.

8.
The following is a GGA-PBE calculation of BeGaS3 after structural relaxation, from Alexandria.

Cell lengths 4.6526, 4.6526, 4.6526 Å; angles 90.00, 90.00, 90.00 degrees
Positions (direct):
Be  0.5000  0.5000  0.5000
S  0.0000  0.5000  0.0000
S  0.0000  0.0000  0.5000
S  0.5000  0.0000  0.0000
Ga  0.0000  0.0000  0.0000

Computed properties:
relative energy among the computed polymorphs	530	meV/atom
E_form (uncorrected)	0.781	eV/atom
DOS(E_F)	3.1	states/eV/f.u.

The lowest DOS(E_F) belongs to which entry?
In2Ga2Ge

What did the fourth record say?
The following is a GGA-PBE calculation of Tb3HoTm after structural relaxation, from Alexandria.

Cell lengths 9.5439, 6.6771, 6.2412 Å; angles 62.16, 109.13, 84.15 degrees
Positions (direct):
Tb  0.0499  0.9513  0.4820
Tb  0.7498  0.4503  0.9164
Tb  0.5504  0.4490  0.3172
Tb  0.4496  0.9511  0.6827
Tb  0.2502  0.9497  0.0837
Tb  0.9501  0.4486  0.5180
Ho  0.6511  0.9498  0.2846
Ho  0.3490  0.4502  0.7155
Tm  0.1492  0.4518  0.1143
Tm  0.8508  0.9483  0.8856

Computed properties:
relative energy among the computed polymorphs	0	meV/atom
DFT formation energy	8	meV per atom
DOS(E_F)	8.9	states/eV/f.u.

Which of these has the highest DOS(E_F)?
La5Sm8Dy

The highest DOS(E_F) belongs to which entry?
La5Sm8Dy